# RbMo6Se7, PBEsol geometry, DFT SCAN
data_RbMo6Se7
_chemical_formula_sum 'Rb6 Mo36 Se42'
_cell_length_a 9.4815
_cell_length_b 9.4815
_cell_length_c 24.5699
_cell_angle_alpha 90.00
_cell_angle_beta 90.00
_cell_angle_gamma 120.00
_symmetry_space_group_name_H-M 'R -3'
_symmetry_Int_Tables_number 148
_symmetry_space_group_name_Hall '-R 3'
loop_
_atom_site_label
_atom_site_fract_x
_atom_site_fract_y
_atom_site_fract_z
_atom_site_occupancy
Rb1 0.0000 0.0000 0.1325 1
Mo1 0.0172 0.1699 0.5444 1
Mo2 0.0232 0.1709 0.3619 1
Se1 0.0000 0.0000 0.2804 1
Se2 0.9998 0.3748 0.2965 1
Se3 0.0032 0.3710 0.1191 1
# total magnetization	0.00	Bohr magnetons per cell
# DFT total energy	-2281.8	eV for the cell shown


# Rb2MoSe4, PBEsol geometry, DFT SCAN
data_Rb2MoSe4
_chemical_formula_sum 'Rb8 Mo4 Se16'
_cell_length_a 10.013
_cell_length_b 7.126
_cell_length_c 12.551
_cell_angle_alpha 90.00
_cell_angle_beta 90.00
_cell_angle_gamma 90.00
_symmetry_space_group_name_H-M 'P n m a'
_symmetry_Int_Tables_number 62
loop_
_symmetry_equiv_pos_as_xyz
'x,y,z'
'-x,-y,-z'
'-x+1/2,-y,z+1/2'
'x+1/2,y,-z+1/2'
'x+1/2,-y+1/2,-z+1/2'
'-x+1/2,y+1/2,z+1/2'
'-x,y+1/2,-z'
'x,-y+1/2,z'
loop_
_atom_site_label
_atom_site_fract_x
_atom_site_fract_y
_atom_site_fract_z
_atom_site_occupancy
Rb1 0.044 0.250 0.156 1
Rb2 0.156 0.750 0.393 1
Mo1 0.250 0.250 0.577 1
Se1 0.023 0.750 0.117 1
Se2 0.150 0.509 0.651 1
Se3 0.213 0.250 0.395 1
# total magnetization	0.00	Bohr magnetons per cell
# DFT total energy	-653.6	eV for the cell shown


# Rb3SnMo, PBEsol geometry, DFT SCAN
data_Rb3SnMo
_chemical_formula_sum 'Rb3 Sn1 Mo1'
_cell_length_a 6.933
_cell_length_b 6.933
_cell_length_c 6.933
_cell_angle_alpha 90.00
_cell_angle_beta 90.00
_cell_angle_gamma 90.00
_symmetry_space_group_name_H-M 'P m -3 m'
_symmetry_Int_Tables_number 221
_symmetry_space_group_name_Hall '-P 4 2 3'
loop_
_atom_site_label
_atom_site_fract_x
_atom_site_fract_y
_atom_site_fract_z
_atom_site_occupancy
Rb1 0.000 0.000 0.500 1
Sn1 0.000 0.000 0.000 1
Mo1 0.500 0.500 0.500 1
# total magnetization	7.03	Bohr magnetons per cell
# energy of formation from the pure elements	1.055	eV per atom
# DFT total energy	-127.7	eV for the cell shown


# Rb2TaMo, PBEsol geometry, DFT SCAN
data_Rb2TaMo
_chemical_formula_sum 'Rb8 Ta4 Mo4'
_cell_length_a 8.457
_cell_length_b 8.457
_cell_length_c 8.457
_cell_angle_alpha 90.00
_cell_angle_beta 90.00
_cell_angle_gamma 90.00
_symmetry_space_group_name_H-M 'F m -3 m'
_symmetry_Int_Tables_number 225
_symmetry_space_group_name_Hall '-F 4 2 3'
loop_
_atom_site_label
_atom_site_fract_x
_atom_site_fract_y
_atom_site_fract_z
_atom_site_occupancy
Rb1 0.250 0.250 0.250 1
Ta1 0.000 0.000 0.000 1
Mo1 0.000 0.000 0.500 1
# total magnetization	38.62	Bohr magnetons per cell
# energy of formation from the pure elements	2.592	eV per atom
# DFT total energy	-530.3	eV for the cell shown


# RbZr2TcMo, PBEsol geometry, DFT SCAN
data_RbZr2TcMo
_chemical_formula_sum 'Rb1 Zr2 Tc1 Mo1'
_cell_length_a 4.945
_cell_length_b 4.945
_cell_length_c 5.254
_cell_angle_alpha 90.00
_cell_angle_beta 90.00
_cell_angle_gamma 90.00
_symmetry_space_group_name_H-M 'P 4/m m m'
_symmetry_Int_Tables_number 123
_symmetry_space_group_name_Hall '-P 4 2'
loop_
_atom_site_label
_atom_site_fract_x
_atom_site_fract_y
_atom_site_fract_z
_atom_site_occupancy
Rb1 0.000 0.000 0.000 1
Zr1 0.000 0.500 0.500 1
Tc1 0.500 0.500 0.000 1
Mo1 0.000 0.000 0.500 1
# total magnetization	2.58	Bohr magnetons per cell
# energy of formation from the pure elements	1.812	eV per atom
# DFT total energy	-143.0	eV for the cell shown


# Rb2ZnTeMo, PBEsol geometry, DFT SCAN
data_Rb2ZnTeMo
_chemical_formula_sum 'Rb2 Zn1 Te1 Mo1'
_cell_length_a 6.806
_cell_length_b 6.806
_cell_length_c 5.107
_cell_angle_alpha 90.00
_cell_angle_beta 90.00
_cell_angle_gamma 90.00
_symmetry_space_group_name_H-M 'P 4/m m m'
_symmetry_Int_Tables_number 123
_symmetry_space_group_name_Hall '-P 4 2'
loop_
_atom_site_label
_atom_site_fract_x
_atom_site_fract_y
_atom_site_fract_z
_atom_site_occupancy
Rb1 0.000 0.500 0.000 1
Zn1 0.000 0.000 0.500 1
Te1 0.500 0.500 0.500 1
Mo1 0.500 0.500 0.000 1
# total magnetization	4.09	Bohr magnetons per cell
# DFT total energy	-124.3	eV for the cell shown


# RbTl2Mo, PBEsol geometry, DFT SCAN
data_RbTl2Mo
_chemical_formula_sum 'Rb4 Tl8 Mo4'
_cell_length_a 7.542
_cell_length_b 7.542
_cell_length_c 7.542
_cell_angle_alpha 90.00
_cell_angle_beta 90.00
_cell_angle_gamma 90.00
_symmetry_space_group_name_H-M 'F m -3 m'
_symmetry_Int_Tables_number 225
_symmetry_space_group_name_Hall '-F 4 2 3'
loop_
_atom_site_label
_atom_site_fract_x
_atom_site_fract_y
_atom_site_fract_z
_atom_site_occupancy
Rb1 0.000 0.000 0.000 1
Tl1 0.250 0.250 0.250 1
Mo1 0.000 0.000 0.500 1
# total magnetization	14.94	Bohr magnetons per cell
# energy of formation from the pure elements	0.797	eV per atom
# DFT total energy	-788.6	eV for the cell shown


# Re24Mo5, PBEsol geometry, DFT SCAN
data_Re24Mo5
_chemical_formula_sum 'Re48 Mo10'
_cell_length_a 9.543
_cell_length_b 9.543
_cell_length_c 9.543
_cell_angle_alpha 90.00
_cell_angle_beta 90.00
_cell_angle_gamma 90.00
_symmetry_space_group_name_H-M 'I -4 3 m'
_symmetry_Int_Tables_number 217
_symmetry_space_group_name_Hall 'I -4 2 3'
loop_
_atom_site_label
_atom_site_fract_x
_atom_site_fract_y
_atom_site_fract_z
_atom_site_occupancy
Re1 0.044 0.359 0.641 1
Re2 0.091 0.091 0.716 1
Mo1 0.000 0.000 0.000 1
Mo2 0.180 0.180 0.180 1
# total magnetization	0.00	Bohr magnetons per cell
# energy of formation from the pure elements	-0.060	eV per atom
# DFT total energy	-3765.0	eV for the cell shown